# 1
ReRuC2, relaxed, DFT GGA-PBE; total magnetic moment = 0.0 μB/f.u.; V = 44 Å³/f.u.; DOS(E_F) = 2.5 states/eV per cell; offset from the most stable computed form = 387 meV/atom; energy relative to the elements = 672 meV/atom; calculated density = 11.87 g/cm³
1.0
-1.2949 2.5672 3.5161
1.6356 -1.5382 1.7255
5.8521 2.8718 -2.9872
C Re Ru
4 2 2
direct
0.5409 0.5000 0.3714
0.8176 0.0000 0.8058
0.5409 0.0000 0.8714
0.8176 0.5000 0.3058
0.9445 0.0000 0.1398
0.9445 0.5000 0.6398
0.4151 0.5000 0.0345
0.4151 0.0000 0.5345

# 2
ReRuC2, relaxed, DFT GGA-PBE; total magnetic moment = 0.0 μB/f.u.; V = 43 Å³/f.u.; DOS(E_F) = 3.0 states/eV per cell; offset from the most stable computed form = 0 meV/atom; energy relative to the elements = 285 meV/atom; calculated density = 12.03 g/cm³
1.0
-2.1032 1.2580 1.3671
2.1000 -1.1819 1.4381
9.4930 16.3407 -0.4320
Re C Ru
3 6 3
direct
0.6667 0.3333 0.8538
0.3333 0.6667 0.1871
0.0000 0.0000 0.5205
0.0000 0.0000 0.2575
0.3333 0.6667 0.9985
0.0000 0.0000 0.3318
0.6667 0.3333 0.6652
0.3333 0.6667 0.9242
0.6667 0.3333 0.5908
0.0000 0.0000 0.0665
0.6667 0.3333 0.3998
0.3333 0.6667 0.7332

# 3
ScReRu2C, relaxed, DFT GGA-PBE; total magnetic moment = 0.3 μB/f.u.; V = 70 Å³/f.u.; DOS(E_F) = 6.6 states/eV per cell; energy relative to the elements = -128 meV/atom; calculated density = 10.62 g/cm³
1.0
-3.9280 -0.9810 0.7472
1.1415 -1.9483 3.4426
-0.4655 3.4829 2.1254
C Sc Re Ru
1 1 1 2
direct
0.0000 0.0000 0.0000
0.5000 0.5000 0.5000
0.0000 0.0000 0.5000
0.0000 0.5000 0.0000
0.5000 0.0000 0.0000

# 4
ZrReRu2C, relaxed, DFT GGA-PBE; total magnetic moment = 0.0 μB/f.u.; V = 70 Å³/f.u.; DOS(E_F) = 2.1 states/eV per cell; energy relative to the elements = -216 meV/atom; calculated density = 11.61 g/cm³
1.0
-2.9429 1.4879 -2.4568
-2.8418 -0.9973 2.8000
0.4220 3.7432 1.7615
Re Ru C Zr
1 2 1 1
direct
0.0000 0.0000 0.5000
0.0000 0.5000 0.0000
0.5000 0.0000 0.0000
0.0000 0.0000 0.0000
0.5000 0.5000 0.5000